# 1
Computed, not measured: a relaxed structure of MnTc2Rh at the PBE level of DFT.

abc: 4.278 4.278 4.278
angles: 60.00 60.00 60.00
Atoms (fractional coordinates):
Mn  0.000  0.000  0.000
Tc  0.250  0.250  0.250
Tc  0.750  0.750  0.750
Rh  0.500  0.500  0.500

Space group   Fm-3m
Formation energy   390.9 meV/atom


# 2
Computed, not measured: a relaxed structure of Li2AgF4 at the PBE level of DFT.

abc: 6.257 6.257 6.257
angles: 138.95 138.95 59.45
Atoms (fractional coordinates):
Li  0.140  0.140  0.000
Li  0.860  0.860  0.000
Ag  0.500  0.500  0.000
F  0.000  0.500  0.500
F  0.302  0.302  0.000
F  0.500  0.000  0.500
F  0.698  0.698  0.000

Energy relative to the elements, uncorrected   -1894.3 meV per atom
Space group   I4/mmm


# 3
Computed, not measured: a relaxed structure of PbCl2F4 at the PBE level of DFT.

abc: 4.151 6.101 6.767
angles: 115.16 98.82 96.39
Atoms (fractional coordinates):
Pb  0.000  0.000  0.000
Cl  0.153  0.444  0.749
Cl  0.847  0.556  0.251
F  0.094  0.837  0.287
F  0.420  0.769  0.801
F  0.580  0.231  0.199
F  0.906  0.163  0.713

Energy relative to the elements, uncorrected   -1195.0 meV per atom
Space group   P-1


# 4
Computed, not measured: a relaxed structure of Be2BrF at the PBE level of DFT.

abc: 6.808 6.808 6.808
angles: 141.82 141.82 55.09
Atoms (fractional coordinates):
Be  0.375  0.241  0.366
Be  0.759  0.125  0.134
Be  0.875  0.009  0.634
Be  0.991  0.625  0.866
Br  0.250  0.750  0.500
Br  0.500  0.500  0.000
F  0.000  0.000  0.000
F  0.750  0.250  0.500

Energy relative to the elements, uncorrected   -259.5 meV per atom
Space group   I-42d


# 5
Computed, not measured: a relaxed structure of DyTm8 at the PBE level of DFT.

abc: 7.803 7.803 7.803
angles: 95.72 95.72 143.21
Atoms (fractional coordinates):
Dy  0.000  0.000  0.000
Tm  0.000  0.334  0.334
Tm  0.000  0.666  0.666
Tm  0.333  0.333  0.666
Tm  0.333  0.667  0.000
Tm  0.334  0.000  0.334
Tm  0.666  0.000  0.666
Tm  0.667  0.333  0.000
Tm  0.667  0.667  0.334

Space group   I4/mmm
Formation energy   26.5 meV/atom


# 6
Computed, not measured: a relaxed structure of CePmPb at the PBE level of DFT.

abc: 6.203 3.419 8.958
angles: 90.00 90.00 90.00
Atoms (fractional coordinates):
Ce  0.250  0.000  0.159
Ce  0.750  0.000  0.841
Pm  0.000  0.500  0.500
Pm  0.500  0.500  0.500
Pb  0.250  0.500  0.828
Pb  0.750  0.500  0.172

Space group   Pmma
Formation energy   -132.3 meV/atom


# 7
Computed, not measured: a relaxed structure of Ca4CuIr at the PBE level of DFT.

abc: 6.031 6.031 6.031
angles: 60.00 60.00 60.00
Atoms (fractional coordinates):
Ca  0.376  0.376  0.376
Ca  0.376  0.376  0.872
Ca  0.376  0.872  0.376
Ca  0.872  0.376  0.376
Cu  0.000  0.000  0.000
Ir  0.750  0.750  0.750

Space group   F-43m
Formation energy   819.5 meV/atom


# 8
Computed, not measured: a relaxed structure of PaTlCo2H8 at the PBE level of DFT.

abc: 6.273 6.273 6.273
angles: 41.25 41.25 41.25
Atoms (fractional coordinates):
Pa  0.000  0.000  0.000
Tl  0.500  0.500  0.500
Co  0.218  0.218  0.218
Co  0.782  0.782  0.782
H  0.031  0.563  0.563
H  0.127  0.127  0.127
H  0.437  0.437  0.969
H  0.437  0.969  0.437
H  0.563  0.031  0.563
H  0.563  0.563  0.031
H  0.873  0.873  0.873
H  0.969  0.437  0.437

E_tot   -4.36 eV/atom
Space group   R-3m


# 9
Computed, not measured: a relaxed structure of HfTc2AgS at the PBE level of DFT.

abc: 4.860 4.860 5.055
angles: 90.00 90.00 90.00
Atoms (fractional coordinates):
Hf  0.000  0.000  0.000
Tc  0.000  0.500  0.500
Tc  0.500  0.000  0.500
Ag  0.000  0.000  0.500
S  0.500  0.500  0.000

Energy relative to the elements, uncorrected   1974.5 meV per atom
Space group   P4/mmm


# 10
Computed, not measured: a relaxed structure of K4AlCl at the PBE level of DFT.

abc: 7.434 7.434 7.434
angles: 60.00 60.00 60.00
Atoms (fractional coordinates):
K  0.125  0.125  0.125
K  0.125  0.125  0.625
K  0.125  0.625  0.125
K  0.625  0.125  0.125
Al  0.750  0.750  0.750
Cl  0.500  0.500  0.500

Energy relative to the elements, uncorrected   89.7 meV per atom
Space group   F-43m


# 11
Computed, not measured: a relaxed structure of PaCu2Au at the PBE level of DFT.

abc: 5.530 5.530 6.315
angles: 90.00 90.00 132.45
Atoms (fractional coordinates):
Pa  0.095  0.905  0.750
Pa  0.905  0.095  0.250
Cu  0.384  0.616  0.555
Cu  0.384  0.616  0.945
Cu  0.616  0.384  0.055
Cu  0.616  0.384  0.445
Au  0.200  0.800  0.250
Au  0.800  0.200  0.750

Space group   Cmcm
Formation energy   -152.3 meV/atom


# 12
Computed, not measured: a relaxed structure of KFeAs2 at the PBE level of DFT.

abc: 4.908 4.908 4.908
angles: 60.00 60.00 60.00
Atoms (fractional coordinates):
K  0.000  0.000  0.000
Fe  0.250  0.250  0.250
As  0.500  0.500  0.500
As  0.750  0.750  0.750

Space group   F-43m
Formation energy   699.0 meV/atom


| no. | density of states at the Fermi level (states/eV/f.u.) |
| --- | --- |
| 1 | 9.11 |
| 2 | 1.61 |
| 3 | 0.00 |
| 4 | 0.81 |
| 5 | 12.07 |
| 6 | 8.11 |
| 7 | 7.18 |
| 8 | 6.16 |
| 9 | 5.21 |
| 10 | 5.31 |
| 11 | 4.80 |
| 12 | 3.83 |